First-principles (PBE-GGA) data for an optimized crystal structure of SrCaRe2Ag, as listed in the Alexandria database.

Results
**Formation enthalpy at 0 K**: 196.7 kJ/mol of atoms
**Space group**: P4/mmm, No. 123

abc: 4.956 4.956 5.288
angles: 90.00 90.00 90.00
Element x y z (fractional)
Sr 0.000 0.000 0.000
Ca 0.500 0.500 0.500
Re 0.000 0.500 0.500
Re 0.500 0.000 0.500
Ag 0.500 0.500 0.000


First-principles (PBE-GGA) data for an optimized crystal structure of CaVReAg2, as listed in the Alexandria database.

Results
**Formation enthalpy at 0 K**: 75.0 kJ/mol of atoms
**Space group**: P4/mmm, No. 123

abc: 5.225 5.225 4.437
angles: 90.00 90.00 90.00
Element x y z (fractional)
Ca 0.000 0.000 0.000
V 0.500 0.500 0.000
Re 0.500 0.500 0.500
Ag 0.000 0.500 0.500
Ag 0.500 0.000 0.500


First-principles (PBE-GGA) data for an optimized crystal structure of CaZn2ReAg, as listed in the Alexandria database.

Results
**Formation enthalpy at 0 K**: 115.6 kJ/mol of atoms
**Space group**: P4/mmm, No. 123

abc: 4.819 4.819 5.394
angles: 90.00 90.00 90.00
Element x y z (fractional)
Ca 0.000 0.000 0.000
Zn 0.000 0.500 0.500
Zn 0.500 0.000 0.500
Re 0.500 0.500 0.000
Ag 0.000 0.000 0.500


Which value of formation enthalpy at 0 K does entry 1 give?
196.7 kJ/mol of atoms